Computed, not measured: a geometry-optimized Ta2CoAu structure at the GGA-PBEsol level of DFT.

Cell and atoms, written as extended XYZ:
```
4
Lattice="-0.9389 -1.0850 -3.6071 -2.9944 -2.0403 1.3931 -2.3745 3.2413 -0.3569" Properties=species:S:1:pos:R:3 pbc="T T T"
Ta -0.4694 -0.5425 -1.8036
Ta -1.4972 -1.0201 0.6965
Co -1.1873 1.6206 -0.1785
Au -3.1539 0.0580 -1.2855
```

M_tot: 0.003 μB/f.u.
Formation energy: -30 kJ/mol of formula units
Energy relative to the lowest polymorph listed for this composition: 22 kJ/mol of formula units